Here is an optimized crystal structure of PaCrSb2O8 from Alexandria. Energies are from PBE+U.

Geometry as POSCAR:
```
PaCrSb2O8
1.0
3.475 -3.507 0.000
3.475 3.507 0.000
0.000 0.000 6.665
Pa Cr Sb O
1 1 2 8
Direct
0.000 0.000 0.000
0.000 0.000 0.500
0.500 0.500 0.264
0.500 0.500 0.736
0.190 0.190 0.259
0.190 0.190 0.741
0.300 0.700 0.500
0.319 0.681 0.000
0.681 0.319 0.000
0.700 0.300 0.500
0.810 0.810 0.259
0.810 0.810 0.741
```

The space group is Cmmm (65). The value obtained for the total DFT energy (no corrections) is -89.2 eV per cell.